1.
ZnCl2 after structural relaxation. Source: OQMD, functional PBE-GGA.

Lattice parameters (Å, degrees): 5.9768 5.9768 7.1630 90.00 90.00 120.00
With the nearest neighbours (Å) after each atom.
Fractional coordinates of all 9 atoms:
Cl 0.3266 0.9725 0.5917  2 Zn 2.29-2.30
Cl 0.3541 0.0275 0.0749  2 Zn 2.29-2.30
Zn 0.0000 0.5637 0.6667  4 Cl 2.29-2.30
Cl 0.6734 0.6459 0.7416  2 Zn 2.29-2.30
Zn 0.5637 0.0000 0.3333  4 Cl 2.29-2.30
Cl 0.0275 0.3541 0.9251  2 Zn 2.29-2.30
Cl 0.9725 0.3266 0.4083  2 Zn 2.29-2.30
Cl 0.6459 0.6734 0.2584  2 Zn 2.29-2.30
Zn 0.4363 0.4363 0.0000  4 Cl 2.29-2.30

## Properties
Uncorrected energy, eV per cell: -24.9

***

2.
KTmFeTe3 after structural relaxation. Source: OQMD, functional PBE-GGA.

Lattice parameters (Å, degrees): 11.3872 4.3474 15.4838 90.00 90.00 90.00
With the nearest neighbours (Å) after each atom.
Fractional coordinates of all 24 atoms:
K 0.7353 0.0000 0.4996  7 Te 3.55-3.77
Te 0.7403 0.0000 0.8197  2 Fe 2.69
Tm 0.9895 0.0000 0.7478  6 Te 3.04-3.05
Fe 0.7591 0.0000 0.2177  4 Te 2.61-2.69
Tm 0.5105 0.5000 0.2478  6 Te 3.04-3.05
Te 0.2597 0.5000 0.1803  2 Fe 2.69
K 0.7647 0.5000 0.9996  7 Te 3.55-3.77
Fe 0.2591 0.0000 0.2823  4 Te 2.61-2.69
Te 0.5515 0.5000 0.6220  1 Fe 2.62
Te 0.2403 0.0000 0.6803  2 Fe 2.69
Te 0.7597 0.5000 0.3197  2 Fe 2.69
Te 0.4264 0.5000 0.8817  1 Fe 2.61
K 0.2353 0.0000 0.0004  7 Te 3.55-3.77
Tm 0.0105 0.5000 0.2522  6 Te 3.04-3.05
Fe 0.7409 0.5000 0.7177  4 Te 2.61-2.69
Tm 0.4895 0.0000 0.7522  6 Te 3.04-3.05
K 0.2647 0.5000 0.5004  7 Te 3.55-3.77
Fe 0.2409 0.5000 0.7823  4 Te 2.61-2.69
Te 0.9264 0.5000 0.6183  1 Fe 2.61
Te 0.0515 0.5000 0.8780  1 Fe 2.62
Te 0.9485 0.0000 0.1220  1 Fe 2.62
Te 0.0736 0.0000 0.3817  1 Fe 2.61
Te 0.5736 0.0000 0.1183  1 Fe 2.61
Te 0.4485 0.0000 0.3780  1 Fe 2.62

## Properties
Uncorrected energy, eV per cell: -113.4

***

3.
LiCu3SnSe4 after structural relaxation. Source: OQMD, functional PBE-GGA.

Lattice parameters (Å, degrees): 5.8369 5.8369 5.8369 90.00 90.00 90.00
With the nearest neighbours (Å) after each atom.
Fractional coordinates of all 9 atoms:
Cu 0.5000 0.5000 0.0000  4 Se 2.55
Se 0.7552 0.2448 0.7552  1 Li 2.48, 3 Cu 2.55, 1 Sn 2.58
Cu 0.5000 0.0000 0.5000  4 Se 2.55
Cu 0.0000 0.5000 0.5000  4 Se 2.55
Se 0.2448 0.7552 0.7552  1 Li 2.48, 3 Cu 2.55, 1 Sn 2.58
Sn 0.5000 0.5000 0.5000  4 Se 2.58
Li 0.0000 0.0000 0.0000  4 Se 2.48
Se 0.7552 0.7552 0.2448  1 Li 2.48, 3 Cu 2.55, 1 Sn 2.58
Se 0.2448 0.2448 0.2448  1 Li 2.48, 3 Cu 2.55, 1 Sn 2.58

## Properties
Relative energy among the computed polymorphs, meV/atom: 15.2

***

4.
FeSi17Ge13P after structural relaxation. Source: OQMD, functional PBE-GGA.

Lattice parameters (Å, degrees): 5.5343 3.9470 31.2406 90.00 90.02 90.00
With the nearest neighbours (Å) after each atom.
Fractional coordinates of all 32 atoms:
Ge 0.5042 0.5000 0.9372  1 Si 2.41, 3 Ge 2.45-2.48
Si 0.2503 0.0000 0.3106  3 Si 2.35-2.39, 1 Ge 2.41
Ge 0.2566 0.0000 0.6868  3 Si 2.41-2.43, 1 Ge 2.51
Ge 0.7521 0.5000 0.7480  4 Si 2.42-2.46
Ge 0.7546 0.5000 0.0031  3 Si 2.41-2.43, 1 Ge 2.48
Ge 0.2561 0.0000 0.4369  2 Si 2.41, 2 Ge 2.46-2.47
Si 0.0053 0.0000 0.7499  1 Si 2.35, 3 Ge 2.41-2.42
Ge 0.0069 0.0000 0.5022  1 Si 2.41, 3 Ge 2.46
Si 0.2525 0.0000 0.0629  3 Si 2.34-2.38, 1 Ge 2.41
Ge 0.9926 0.0000 0.8727  3 Si 2.41, 1 Ge 2.46
Ge 0.7405 0.5000 0.5024  2 Si 2.44-2.46, 2 Ge 2.46
Ge 0.9945 0.0000 0.1251  3 Si 2.41-2.42, 1 Ge 2.49
Si 0.4938 0.5000 0.8113  3 Si 2.36-2.38, 1 Ge 2.44
Si 0.5009 0.5000 0.5688  1 Fe 2.24, 2 Si 2.39, 1 Ge 2.46
Si 0.4920 0.5000 0.0655  3 Si 2.37-2.38, 1 Ge 2.43
Ge 0.9715 0.0000 0.6244  2 Fe 2.31, 1 Si 2.44, 1 Ge 2.51
Si 0.5116 0.5000 0.6818  1 Fe 2.23, 3 Ge 2.43-2.46
Si 0.7414 0.5000 0.3728  2 Si 2.37-2.38, 2 Ge 2.42
Ge 0.9933 0.0000 0.3729  3 Si 2.41-2.42, 1 Ge 2.47
Fe 0.7535 0.5000 0.6249  2 Si 2.23-2.24, 2 Ge 2.31
Si 0.0043 0.0000 0.0022  1 Si 2.34, 3 Ge 2.40-2.41
Ge 0.2642 0.0000 0.1887  2 P 2.41, 1 Si 2.43, 1 Ge 2.49
Si 0.7558 0.5000 0.2497  1 P 2.32, 3 Si 2.38-2.39
P 0.5146 0.5000 0.1889  2 Si 2.31-2.32, 2 Ge 2.41
Ge 0.2425 0.0000 0.9380  1 Si 2.40, 3 Ge 2.45-2.46
Si 0.4934 0.5000 0.3104  4 Si 2.38-2.39
Si 0.7428 0.5000 0.8726  1 Si 2.36, 3 Ge 2.41
Si 0.7432 0.5000 0.1270  1 P 2.31, 1 Si 2.37, 2 Ge 2.42
Si 0.2586 0.0000 0.5651  2 Si 2.39, 2 Ge 2.41-2.44
Si 0.9963 0.0000 0.2502  3 Si 2.35-2.38, 1 Ge 2.43
Si 0.5066 0.5000 0.4362  1 Si 2.37, 3 Ge 2.41-2.44
Si 0.2537 0.0000 0.8109  3 Si 2.35-2.38, 1 Ge 2.41

## Properties
Relative energy among the computed polymorphs, meV/atom: 49.4

***

5.
BaErOs after structural relaxation. Source: OQMD, functional PBE-GGA.

Lattice parameters (Å, degrees): 4.8819 4.8819 4.8819 60.00 60.00 60.00
With the nearest neighbours (Å) after each atom.
Fractional coordinates of all 3 atoms:
Os 0.7500 0.7500 0.7500  4 Ba 2.99
Er 0.2500 0.2500 0.2500  4 Ba 2.99
Ba 0.0000 0.0000 0.0000  4 Os 2.99, 4 Er 2.99

## Properties
Relative energy among the computed polymorphs, meV/atom: 1048.6

***

6.
Tb2YGe7 after structural relaxation. Source: OQMD, functional PBE-GGA.

Lattice parameters (Å, degrees): 12.8557 12.8557 4.1218 90.00 90.00 162.20
With the nearest neighbours (Å) after each atom.
Fractional coordinates of all 10 atoms:
Ge 0.5000 0.5000 0.0000  4 Y 2.86, 8 Ge 3.07-3.15
Ge 0.2173 0.7827 0.5000  2 Ge 2.59
Ge 0.7827 0.2173 0.5000  2 Ge 2.59
Ge 0.5940 0.4060 0.5000  6 Ge 2.86-3.15, 2 Tb 3.09, 2 Y 3.11
Ge 0.4060 0.5940 0.5000  6 Ge 2.86-3.15, 2 Tb 3.09, 2 Y 3.11
Ge 0.0919 0.9081 0.0000  6 Ge 2.86-3.07, 2 Tb 3.08, 2 Y 3.11
Tb 0.6847 0.3153 0.0000  10 Ge 2.98-3.23
Tb 0.3153 0.6847 0.0000  10 Ge 2.98-3.23
Ge 0.9081 0.0919 0.0000  6 Ge 2.86-3.07, 2 Tb 3.08, 2 Y 3.11
Y 0.0000 0.0000 0.5000  12 Ge 2.86-3.11

## Properties
Uncorrected energy, eV per cell: -53.5

***

7.
CuBi2 after structural relaxation. Source: OQMD, functional PBE-GGA.

Lattice parameters (Å, degrees): 6.4051 6.4051 6.4051 60.00 60.00 60.00
With the nearest neighbours (Å) after each atom.
Fractional coordinates of all 6 atoms:
Cu 0.2500 0.2500 0.2500  12 Bi 3.76, 4 Cu 3.92
Bi 0.6250 0.6250 0.1250  6 Bi 3.20
Bi 0.1250 0.6250 0.6250  6 Bi 3.20
Cu 0.0000 0.0000 0.0000  12 Bi 3.76, 4 Cu 3.92
Bi 0.6250 0.6250 0.6250  6 Bi 3.20
Bi 0.6250 0.1250 0.6250  6 Bi 3.20

## Properties
Uncorrected energy, eV per cell: -18.9

***

8.
ZnFe2 after structural relaxation. Source: OQMD, functional PBE-GGA.

Lattice parameters (Å, degrees): 4.8913 4.8913 3.9528 90.00 90.00 90.00
With the nearest neighbours (Å) after each atom.
Fractional coordinates of all 6 atoms:
Fe 0.6716 0.6716 0.0000  3 Zn 2.27-2.31, 1 Fe 2.37
Zn 0.5000 0.5000 0.5000  6 Fe 2.27-2.31
Zn 0.0000 0.0000 0.0000  6 Fe 2.27-2.31
Fe 0.8284 0.1716 0.5000  3 Zn 2.27-2.31, 1 Fe 2.37
Fe 0.1716 0.8284 0.5000  3 Zn 2.27-2.31, 1 Fe 2.37
Fe 0.3284 0.3284 0.0000  3 Zn 2.27-2.31, 1 Fe 2.37

## Properties
Uncorrected energy, eV per cell: -29.4